The following is a DFT calculation (PBE) of a relaxed Cs3RbNa crystal.

Values from the calculation:
Total moment   0.00 μB/cell
Energy relative to the elements   0.3 eV/f.u.
DOS(E_F)   6.467 states/eV/f.u.

Unit cell a=8.102 b=8.102 c=8.102 alpha=90.00 beta=90.00 gamma=90.00
Positions (direct):
Cs: 0.000 0.000 0.500
Cs: 0.000 0.500 0.000
Cs: 0.500 0.000 0.000
Rb: 0.500 0.500 0.500
Na: 0.000 0.000 0.000



The following is a DFT calculation (PBE) of a relaxed Cs5Rb3Na3 crystal.

Values from the calculation:
Total moment   0.00 μB/cell
Energy relative to the elements   1.2 eV/f.u.
DOS(E_F)   7.663 states/eV/f.u.

Unit cell a=15.578 b=15.578 c=4.896 alpha=90.00 beta=90.00 gamma=120.00
Positions (direct):
Cs: 0.000 0.794 0.000
Cs: 0.206 0.206 0.000
Cs: 0.333 0.667 0.000
Cs: 0.667 0.333 0.000
Cs: 0.794 0.000 0.000
Rb: 0.000 0.479 0.000
Rb: 0.479 0.000 0.000
Rb: 0.521 0.521 0.000
Na: 0.000 0.267 0.500
Na: 0.267 0.000 0.500
Na: 0.733 0.733 0.500



The following is a DFT calculation (PBE) of a relaxed CsRbNa10 crystal.

Values from the calculation:
Total moment   0.00 μB/cell
Energy relative to the elements   0.3 eV/f.u.
DOS(E_F)   5.649 states/eV/f.u.

Unit cell a=5.902 b=7.407 c=13.097 alpha=90.00 beta=90.00 gamma=90.00
Positions (direct):
Cs: 0.000 0.000 0.000
Rb: 0.000 0.500 0.500
Na: 0.000 0.000 0.336
Na: 0.000 0.000 0.664
Na: 0.000 0.500 0.171
Na: 0.000 0.500 0.829
Na: 0.500 0.000 0.500
Na: 0.500 0.251 0.253
Na: 0.500 0.251 0.747
Na: 0.500 0.500 0.000
Na: 0.500 0.749 0.253
Na: 0.500 0.749 0.747



The following is a DFT calculation (PBE) of a relaxed Cs3RbNa8 crystal.

Values from the calculation:
Total moment   0.00 μB/cell
Energy relative to the elements   0.1 eV/f.u.
DOS(E_F)   5.088 states/eV/f.u.

Unit cell a=13.540 b=13.540 c=13.540 alpha=33.25 beta=33.25 gamma=33.25
Positions (direct):
Cs: 0.000 0.000 0.000
Cs: 0.126 0.126 0.126
Cs: 0.624 0.624 0.624
Rb: 0.500 0.500 0.500
Na: 0.062 0.062 0.561
Na: 0.062 0.561 0.062
Na: 0.064 0.562 0.562
Na: 0.312 0.312 0.312
Na: 0.561 0.062 0.062
Na: 0.562 0.064 0.562
Na: 0.562 0.562 0.064
Na: 0.813 0.813 0.813



The following is a DFT calculation (PBE) of a relaxed Cs8RbNa3 crystal.

Values from the calculation:
Total moment   0.00 μB/cell
Energy relative to the elements   0.6 eV/f.u.
DOS(E_F)   12.908 states/eV/f.u.

Unit cell a=10.560 b=10.560 c=10.560 alpha=81.36 beta=81.36 gamma=81.36
Positions (direct):
Cs: 0.232 0.232 0.232
Cs: 0.262 0.262 0.695
Cs: 0.262 0.695 0.262
Cs: 0.305 0.738 0.738
Cs: 0.695 0.262 0.262
Cs: 0.738 0.305 0.738
Cs: 0.738 0.738 0.305
Cs: 0.768 0.768 0.768
Rb: 0.000 0.000 0.000
Na: 0.000 0.000 0.500
Na: 0.000 0.500 0.000
Na: 0.500 0.000 0.000



The following is a DFT calculation (PBE) of a relaxed CsRb2NaS crystal.

Values from the calculation:
Total moment   0.01 μB/cell
DOS(E_F)   2.232 states/eV/f.u.
E_form (uncorrected)   -0.433 eV per atom

Unit cell a=6.872 b=6.872 c=5.734 alpha=90.00 beta=90.00 gamma=90.00
Positions (direct):
Cs: 0.000 0.000 0.000
Rb: 0.000 0.500 0.500
Rb: 0.500 0.000 0.500
Na: 0.500 0.500 0.000
S: 0.500 0.500 0.500



The following is a DFT calculation (PBE) of a relaxed Cs2RbNaS crystal.

Values from the calculation:
Total moment   0.00 μB/cell
DOS(E_F)   0.462 states/eV/f.u.
E_form (uncorrected)   -0.537 eV per atom

Unit cell a=6.892 b=6.892 c=6.525 alpha=90.00 beta=90.00 gamma=90.00
Positions (direct):
Cs: 0.000 0.500 0.000
Cs: 0.500 0.000 0.000
Rb: 0.000 0.000 0.500
Na: 0.500 0.500 0.500
S: 0.000 0.000 0.000



The following is a DFT calculation (PBE) of a relaxed Cs2RbNaS crystal.

Values from the calculation:
Total moment   0.00 μB/cell
DOS(E_F)   2.865 states/eV/f.u.
E_form (uncorrected)   -0.472 eV per atom

Unit cell a=7.246 b=7.246 c=5.541 alpha=90.00 beta=90.00 gamma=90.00
Positions (direct):
Cs: 0.000 0.500 0.000
Cs: 0.500 0.000 0.000
Rb: 0.000 0.000 0.500
Na: 0.500 0.500 0.500
S: 0.500 0.500 0.000